## MgVCo2Os (GGA-PBE)

Data for MgVCo2Os after structural relaxation.

Output
- formation energy from the elements (eV/atom) = 1.534
- symmetry = P4/mmm

Cell: 4.455 4.455 4.729 Å, 90.00 90.00 90.00°
Fractional coordinates of all 5 atoms:
Mg: 0.000 0.000 0.000
V: 0.500 0.500 0.000
Co: 0.000 0.500 0.500
Co: 0.500 0.000 0.500
Os: 0.000 0.000 0.500